Run i
The following is a SCAN calculation of Al2SbP at its PBEsol-relaxed geometry, from Alexandria via LeMat-Bulk.

Lattice parameters (Å, degrees): 3.275 3.275 7.420 90.00 90.00 107.81
Atoms (fractional coordinates):
Sb 0.500 0.500 0.000
Al 0.000 0.000 0.296
Al 0.000 0.000 0.704
P 0.500 0.500 0.500

The mass density is 4.53 Mg/m³. For the volume, the calculation gives 75.8 Å³/cell.


Run ii
The following is a SCAN calculation of Al2SbP at its PBEsol-relaxed geometry, from Alexandria via LeMat-Bulk.

Lattice parameters (Å, degrees): 3.224 3.224 7.018 90.00 90.00 90.00
Atoms (fractional coordinates):
Sb 0.500 0.500 0.500
Al 0.000 0.000 0.806
Al 0.000 0.000 0.194
P 0.500 0.500 0.000

The mass density is 4.71 Mg/m³. For the volume, the calculation gives 72.9 Å³/cell.


Run iii
The following is a SCAN calculation of Al2SbP at its PBEsol-relaxed geometry, from Alexandria via LeMat-Bulk.

Lattice parameters (Å, degrees): 3.809 3.809 5.935 108.71 108.71 90.00
Atoms (fractional coordinates):
Sb 0.250 0.750 0.500
Al 0.000 0.000 0.000
Al 0.750 0.250 0.500
P 0.500 0.500 0.000

The mass density is 4.47 Mg/m³. For the volume, the calculation gives 76.7 Å³/cell.


Run iv
The following is a SCAN calculation of Al2SbP at its PBEsol-relaxed geometry, from Alexandria via LeMat-Bulk.

Lattice parameters (Å, degrees): 3.494 4.032 6.629 90.05 90.00 115.68
Atoms (fractional coordinates):
P 0.512 0.024 0.723
Al 0.036 0.071 0.988
Al 0.209 0.419 0.563
Sb 0.743 0.486 0.226

The mass density is 4.08 Mg/m³. For the volume, the calculation gives 84.2 Å³/cell.


Top of the stability list: run iv, leading by 287 meV/atom.